1.
First-principles (PBE-GGA) data for a relaxed structure of SmHgRh, as listed in the Alexandria database.

```
SmHgRh
1.0
3.677 0.000 0.000
0.000 3.677 0.000
-1.839 -1.839 4.830
Sm Hg Rh
1 1 1
Cartesian
1.839 1.839 4.219
1.839 1.839 1.201
0.000 0.000 2.791
```

Summary:
Volume   21.8 A^3/atom
Energy of formation   -1.37 eV/f.u.
Crystal system   tetragonal
Magnetic moment   0.000 μB per cell
VASP energy   -13.741 eV per formula unit
SG   I4mm, No. 107
N(E_F)   2.235 states/eV per cell

***

2.
First-principles (PBE-GGA) data for a relaxed structure of TlC3F, as listed in the Alexandria database.

```
TlC3F
1.0
-1.671 -0.407 3.595
-2.725 -2.464 -1.545
2.381 -3.105 0.755
C Tl F
3 1 1
Cartesian
-1.362 -1.232 -0.772
-0.835 -0.203 1.798
1.190 -1.553 0.378
-1.007 -2.988 1.403
0.000 0.000 0.000
```

Summary:
Raw formation energy   3.1462 eV per atom
Volume   12.7 A^3/atom
Crystal system   cubic
E above lowest polymorph   0.0 meV/atom
Magnetic moment   1.246 μB per cell
VASP energy   -16.178 eV per formula unit
SG   Pm-3m, No. 221
N(E_F)   3.667 states/eV per cell

***

3.
First-principles (PBE-GGA) data for a relaxed structure of SrZn2Tc, as listed in the Alexandria database.

```
SrZn2Tc
1.0
4.791 -0.006 0.004
3.878 2.813 0.004
0.836 0.271 6.069
Zn Sr Tc
2 1 1
Cartesian
8.610 2.788 0.508
4.812 1.558 2.537
7.129 2.308 4.557
2.376 0.769 1.519
```

Summary:
Volume   20.5 A^3/atom
Energy of formation   1.27 eV/f.u.
Crystal system   monoclinic
E above lowest polymorph   123.3 meV/atom
Magnetic moment   0.000 μB per cell
VASP energy   -13.325 eV per formula unit
SG   C2/m, No. 12
N(E_F)   2.623 states/eV per cell

***

4.
First-principles (PBE-GGA) data for a relaxed structure of CaMo2HBr, as listed in the Alexandria database.

```
CaMo2HBr
1.0
-0.356 -4.466 1.796
3.246 -1.552 -3.218
3.926 1.072 3.442
Mo Ca H Br
2 1 1 1
Cartesian
1.623 -0.776 -1.609
-0.178 -2.233 0.898
0.000 0.000 0.000
3.408 -2.473 1.010
1.963 0.536 1.721
```

Summary:
Volume   24.8 A^3/atom
Crystal system   tetragonal
Magnetic moment   0.401 μB per cell
VASP energy   -15.382 eV per formula unit
SG   P4/mmm, No. 123
N(E_F)   9.624 states/eV per cell

***

5.
First-principles (PBE-GGA) data for a relaxed structure of Y3As2S, as listed in the Alexandria database.

```
Y3As2S
1.0
4.069 0.000 0.000
0.000 5.753 0.000
-2.034 -2.877 6.073
Y S As
3 1 2
Cartesian
-1.017 1.438 5.053
3.051 1.438 1.020
1.017 -1.438 3.037
1.017 1.438 3.037
3.051 4.315 1.009
-1.017 -1.438 5.064
```

Summary:
Raw formation energy   -1.7433 eV per atom
Volume   23.7 A^3/atom
Crystal system   orthorhombic
Magnetic moment   0.000 μB per cell
VASP energy   -43.278 eV per formula unit
SG   Immm, No. 71
N(E_F)   1.506 states/eV per cell

***

6.
First-principles (PBE-GGA) data for a relaxed structure of Al2CuBiRu, as listed in the Alexandria database.

```
Al2CuBiRu
1.0
-0.064 -4.245 -1.235
-0.402 -1.224 4.230
-5.287 0.208 -0.442
Cu Al Bi Ru
1 2 1 1
Cartesian
0.000 0.000 0.000
-0.032 -2.123 -0.617
-0.201 -0.612 2.115
-2.644 0.104 -0.221
-2.877 -2.630 1.276
```

Summary:
Volume   20.8 A^3/atom
Energy of formation   4.05 eV/f.u.
Crystal system   tetragonal
E above lowest polymorph   426.7 meV/atom
Magnetic moment   1.207 μB per cell
VASP energy   -20.686 eV per formula unit
SG   P4/mmm, No. 123
N(E_F)   5.752 states/eV per cell

***

7.
First-principles (PBE-GGA) data for a relaxed structure of Te2AsIF, as listed in the Alexandria database.

```
Te2AsIF
1.0
4.644 0.000 0.000
0.000 4.644 0.000
0.000 0.000 6.556
Te I F As
2 1 1 1
Cartesian
2.322 0.000 0.000
0.000 2.322 0.000
0.000 0.000 3.278
0.000 0.000 0.000
2.322 2.322 3.278
```

Summary:
Raw formation energy   0.2950 eV per atom
Volume   28.3 A^3/atom
Crystal system   tetragonal
E above lowest polymorph   0.0 meV/atom
Magnetic moment   0.589 μB per cell
VASP energy   -12.879 eV per formula unit
SG   P4/mmm, No. 123
N(E_F)   5.427 states/eV per cell

***

8.
First-principles (PBE-GGA) data for a relaxed structure of GaRhS3, as listed in the Alexandria database.

```
GaRhS3
1.0
4.686 0.000 0.000
0.000 4.686 0.000
0.000 0.000 4.686
Ga Rh S
1 1 3
Cartesian
2.343 2.343 2.343
0.000 0.000 0.000
0.000 2.343 0.000
2.343 0.000 0.000
0.000 0.000 2.343
```

Summary:
Raw formation energy   0.3225 eV per atom
Volume   20.6 A^3/atom
Crystal system   cubic
E above lowest polymorph   0.0 meV/atom
Magnetic moment   1.459 μB per cell
VASP energy   -21.148 eV per formula unit
SG   Pm-3m, No. 221
N(E_F)   6.750 states/eV per cell